#A
{
  "formula": "SrNiP2O",
  "functional": "GGA+U",
  "state": "optimized geometry",
  "lattice": [[4.131, 0.000, 0.000], [0.000, 4.131, 0.000], [0.000, 0.000, 5.472]],
  "species": ["Sr", "Ni", "P", "P", "O"],
  "frac_coords": [[0.000, 0.000, 0.000], [0.500, 0.500, 0.500], [0.000, 0.500, 0.500], [0.500, 0.000, 0.500], [0.500, 0.500, 0.000]],
  "rho_g_cm3": 3.99,
  "crystal_system": "tetragonal"
}

***

#B
{
  "formula": "SrNiP2O",
  "functional": "GGA+U",
  "state": "optimized geometry",
  "lattice": [[5.592, 0.000, 0.000], [0.000, 5.592, 0.000], [0.000, 0.000, 4.231]],
  "species": ["Sr", "Ni", "P", "P", "O"],
  "frac_coords": [[0.000, 0.000, 0.000], [0.500, 0.500, 0.500], [0.000, 0.500, 0.000], [0.500, 0.000, 0.000], [0.000, 0.000, 0.500]],
  "rho_g_cm3": 2.81,
  "crystal_system": "tetragonal"
}

***

Energies in eV/atom, measured from the most stable structure: #A 0.000; #B 1.475.

***

#A
{
  "formula": "TaNiPO2",
  "functional": "GGA+U",
  "state": "optimized geometry",
  "lattice": [[3.706, 0.000, 0.000], [0.000, 3.706, 0.000], [0.000, 0.000, 4.433]],
  "species": ["Ta", "Ni", "P", "O", "O"],
  "frac_coords": [[0.000, 0.000, 0.000], [0.500, 0.500, 0.500], [0.500, 0.500, 0.000], [0.000, 0.500, 0.500], [0.500, 0.000, 0.500]],
  "rho_g_cm3": 8.25,
  "crystal_system": "tetragonal"
}

***

#B
{
  "formula": "TaNiPO2",
  "functional": "GGA+U",
  "state": "optimized geometry",
  "lattice": [[3.852, 0.000, 0.000], [0.000, 3.852, 0.000], [0.000, 0.000, 5.305]],
  "species": ["Ta", "Ni", "P", "O", "O"],
  "frac_coords": [[0.000, 0.000, 0.000], [0.500, 0.500, 0.500], [0.000, 0.000, 0.500], [0.000, 0.500, 0.000], [0.500, 0.000, 0.000]],
  "rho_g_cm3": 6.38,
  "crystal_system": "tetragonal"
}

***

Energies in eV/atom, measured from the most stable structure: #A 1.138; #B 0.000.

***

#A
{
  "formula": "TcNiPO2",
  "functional": "GGA+U",
  "state": "optimized geometry",
  "lattice": [[3.714, 0.000, 0.000], [0.000, 3.714, 0.000], [0.000, 0.000, 5.185]],
  "species": ["Tc", "Ni", "P", "O", "O"],
  "frac_coords": [[0.000, 0.000, 0.000], [0.500, 0.500, 0.500], [0.000, 0.000, 0.500], [0.000, 0.500, 0.000], [0.500, 0.000, 0.000]],
  "rho_g_cm3": 5.10,
  "crystal_system": "tetragonal"
}

***

#B
{
  "formula": "TcNiPO2",
  "functional": "GGA+U",
  "state": "optimized geometry",
  "lattice": [[3.672, 0.000, 0.000], [0.000, 3.672, 0.000], [0.000, 0.000, 4.537]],
  "species": ["Tc", "Ni", "P", "O", "O"],
  "frac_coords": [[0.000, 0.000, 0.000], [0.500, 0.500, 0.500], [0.500, 0.500, 0.000], [0.000, 0.500, 0.500], [0.500, 0.000, 0.500]],
  "rho_g_cm3": 5.96,
  "crystal_system": "tetragonal"
}

***

Energies in eV/atom, measured from the most stable structure: #A 0.000; #B 0.840.

***

#A
{
  "formula": "NiTeP2O",
  "functional": "GGA+U",
  "state": "optimized geometry",
  "lattice": [[4.668, 0.000, 0.000], [0.000, 4.668, 0.000], [0.000, 0.000, 3.589]],
  "species": ["Ni", "Te", "P", "P", "O"],
  "frac_coords": [[0.000, 0.000, 0.000], [0.500, 0.500, 0.500], [0.000, 0.500, 0.000], [0.500, 0.000, 0.000], [0.000, 0.000, 0.500]],
  "rho_g_cm3": 5.61,
  "crystal_system": "tetragonal"
}

***

#B
{
  "formula": "NiTeP2O",
  "functional": "GGA+U",
  "state": "optimized geometry",
  "lattice": [[5.158, 0.000, 0.000], [0.000, 5.158, 0.000], [0.000, 0.000, 3.878]],
  "species": ["Ni", "Te", "P", "P", "O"],
  "frac_coords": [[0.000, 0.000, 0.000], [0.500, 0.500, 0.500], [0.000, 0.500, 0.500], [0.500, 0.000, 0.500], [0.500, 0.500, 0.000]],
  "rho_g_cm3": 4.25,
  "crystal_system": "tetragonal"
}

***

Energies in eV/atom, measured from the most stable structure: #A 0.000; #B 0.516.

***

#A
{
  "formula": "TiNiPO2",
  "functional": "GGA+U",
  "state": "optimized geometry",
  "lattice": [[3.716, 0.000, 0.000], [0.000, 3.716, 0.000], [0.000, 0.000, 5.368]],
  "species": ["Ti", "Ni", "P", "O", "O"],
  "frac_coords": [[0.000, 0.000, 0.000], [0.500, 0.500, 0.500], [0.000, 0.000, 0.500], [0.000, 0.500, 0.000], [0.500, 0.000, 0.000]],
  "rho_g_cm3": 3.80,
  "crystal_system": "tetragonal"
}

***

#B
{
  "formula": "TiNiPO2",
  "functional": "GGA+U",
  "state": "optimized geometry",
  "lattice": [[3.702, 0.000, 0.000], [0.000, 3.702, 0.000], [0.000, 0.000, 4.402]],
  "species": ["Ti", "Ni", "P", "O", "O"],
  "frac_coords": [[0.000, 0.000, 0.000], [0.500, 0.500, 0.500], [0.500, 0.500, 0.000], [0.000, 0.500, 0.500], [0.500, 0.000, 0.500]],
  "rho_g_cm3": 4.67,
  "crystal_system": "tetragonal"
}

***

Energies in eV/atom, measured from the most stable structure: #A 0.000; #B 0.716.

***

#A
{
  "formula": "TlNiP2O",
  "functional": "GGA+U",
  "state": "optimized geometry",
  "lattice": [[5.180, 0.000, 0.000], [0.000, 5.180, 0.000], [0.000, 0.000, 4.046]],
  "species": ["Tl", "Ni", "P", "P", "O"],
  "frac_coords": [[0.000, 0.000, 0.000], [0.500, 0.500, 0.500], [0.000, 0.500, 0.000], [0.500, 0.000, 0.000], [0.000, 0.000, 0.500]],
  "rho_g_cm3": 5.22,
  "crystal_system": "tetragonal"
}

***

#B
{
  "formula": "TlNiP2O",
  "functional": "GGA+U",
  "state": "optimized geometry",
  "lattice": [[4.789, 0.000, 0.000], [0.000, 4.789, 0.000], [0.000, 0.000, 3.550]],
  "species": ["Tl", "Ni", "P", "P", "O"],
  "frac_coords": [[0.000, 0.000, 0.000], [0.500, 0.500, 0.500], [0.000, 0.500, 0.500], [0.500, 0.000, 0.500], [0.500, 0.500, 0.000]],
  "rho_g_cm3": 6.95,
  "crystal_system": "tetragonal"
}

***

Energies in eV/atom, measured from the most stable structure: #A 1.078; #B 0.000.

***

#A
{
  "formula": "VNiPO2",
  "functional": "GGA+U",
  "state": "optimized geometry",
  "lattice": [[3.669, 0.000, 0.000], [0.000, 3.669, 0.000], [0.000, 0.000, 4.630]],
  "species": ["V", "Ni", "P", "O", "O"],
  "frac_coords": [[0.000, 0.000, 0.000], [0.500, 0.500, 0.500], [0.500, 0.500, 0.000], [0.000, 0.500, 0.500], [0.500, 0.000, 0.500]],
  "rho_g_cm3": 4.60,
  "crystal_system": "tetragonal"
}

***

#B
{
  "formula": "VNiPO2",
  "functional": "GGA+U",
  "state": "optimized geometry",
  "lattice": [[3.640, 0.000, 0.000], [0.000, 3.640, 0.000], [0.000, 0.000, 5.141]],
  "species": ["V", "Ni", "P", "O", "O"],
  "frac_coords": [[0.000, 0.000, 0.000], [0.500, 0.500, 0.500], [0.000, 0.000, 0.500], [0.000, 0.500, 0.000], [0.500, 0.000, 0.000]],
  "rho_g_cm3": 4.21,
  "crystal_system": "tetragonal"
}

***

Energies in eV/atom, measured from the most stable structure: #A 0.703; #B 0.000.

***

#A
{
  "formula": "V2NiP2O10",
  "functional": "GGA+U",
  "state": "optimized geometry",
  "lattice": [[6.427, 0.000, 0.000], [0.000, 7.411, 0.000], [-0.009, 0.000, 7.369]],
  "species": ["V", "V", "V", "V", "Ni", "Ni", "P", "P", "P", "P", "O", "O", "O", "O", "O", "O", "O", "O", "O", "O", "O", "O", "O", "O", "O", "O", "O", "O", "O", "O"],
  "frac_coords": [[0.244, 0.222, 0.164], [0.244, 0.278, 0.664], [0.756, 0.722, 0.336], [0.756, 0.778, 0.836], [0.500, 0.000, 0.500], [0.500, 0.500, 0.000], [0.249, 0.623, 0.372], [0.249, 0.877, 0.872], [0.751, 0.123, 0.128], [0.751, 0.377, 0.628], [0.055, 0.742, 0.353], [0.055, 0.758, 0.853], [0.242, 0.510, 0.547], [0.242, 0.990, 0.047], [0.272, 0.165, 0.390], [0.272, 0.335, 0.890], [0.278, 0.004, 0.705], [0.278, 0.496, 0.205], [0.439, 0.746, 0.877], [0.439, 0.754, 0.377], [0.561, 0.246, 0.623], [0.561, 0.254, 0.123], [0.722, 0.504, 0.795], [0.722, 0.996, 0.295], [0.728, 0.665, 0.110], [0.728, 0.835, 0.610], [0.758, 0.010, 0.953], [0.758, 0.490, 0.453], [0.945, 0.242, 0.147], [0.945, 0.258, 0.647]],
  "rho_g_cm3": 3.62,
  "crystal_system": "monoclinic"
}

***

#B
{
  "formula": "V2NiP2O10",
  "functional": "GGA+U",
  "state": "optimized geometry",
  "lattice": [[6.764, 0.000, 0.000], [0.000, 8.202, 0.000], [-6.454, 0.000, 6.837]],
  "species": ["V", "V", "V", "V", "Ni", "Ni", "P", "P", "P", "P", "O", "O", "O", "O", "O", "O", "O", "O", "O", "O", "O", "O", "O", "O", "O", "O", "O", "O", "O", "O"],
  "frac_coords": [[0.041, 0.137, 0.138], [0.041, 0.363, 0.638], [0.959, 0.637, 0.362], [0.959, 0.863, 0.862], [0.000, 0.000, 0.500], [0.000, 0.500, 0.000], [0.432, 0.690, 0.747], [0.432, 0.810, 0.247], [0.568, 0.190, 0.753], [0.568, 0.310, 0.253], [0.019, 0.071, 0.292], [0.019, 0.429, 0.792], [0.229, 0.694, 0.062], [0.229, 0.806, 0.562], [0.257, 0.525, 0.627], [0.257, 0.975, 0.127], [0.294, 0.178, 0.703], [0.294, 0.322, 0.203], [0.465, 0.724, 0.916], [0.465, 0.776, 0.416], [0.535, 0.224, 0.584], [0.535, 0.276, 0.084], [0.706, 0.678, 0.797], [0.706, 0.822, 0.297], [0.743, 0.025, 0.873], [0.743, 0.475, 0.373], [0.771, 0.194, 0.438], [0.771, 0.306, 0.938], [0.981, 0.571, 0.208], [0.981, 0.929, 0.708]],
  "rho_g_cm3": 3.35,
  "crystal_system": "monoclinic"
}

***

#C
{
  "formula": "V2NiP2O10",
  "functional": "GGA+U",
  "state": "optimized geometry",
  "lattice": [[7.363, 0.000, 0.000], [0.000, 7.405, 0.000], [-3.640, 0.000, 6.405]],
  "species": ["V", "V", "V", "V", "Ni", "Ni", "P", "P", "P", "P", "O", "O", "O", "O", "O", "O", "O", "O", "O", "O", "O", "O", "O", "O", "O", "O", "O", "O", "O", "O"],
  "frac_coords": [[0.241, 0.226, 0.035], [0.241, 0.274, 0.535], [0.759, 0.726, 0.465], [0.759, 0.774, 0.965], [0.500, 0.000, 0.500], [0.500, 0.500, 0.000], [0.248, 0.624, 0.250], [0.248, 0.876, 0.750], [0.752, 0.124, 0.250], [0.752, 0.376, 0.750], [0.057, 0.746, 0.136], [0.057, 0.754, 0.636], [0.232, 0.508, 0.414], [0.232, 0.992, 0.914], [0.271, 0.163, 0.274], [0.271, 0.337, 0.774], [0.279, 0.002, 0.596], [0.279, 0.498, 0.096], [0.442, 0.749, 0.853], [0.442, 0.751, 0.353], [0.558, 0.249, 0.647], [0.558, 0.251, 0.147], [0.721, 0.502, 0.904], [0.721, 0.998, 0.404], [0.729, 0.663, 0.226], [0.729, 0.837, 0.726], [0.768, 0.008, 0.086], [0.768, 0.492, 0.586], [0.943, 0.246, 0.364], [0.943, 0.254, 0.864]],
  "rho_g_cm3": 3.64,
  "crystal_system": "monoclinic"
}

***

Energies in eV/atom, measured from the most stable structure: #A 0.000; #B 0.149; #C 0.006.